# RbTcAuSe3

An optimized crystal structure of RbTcAuSe3 (PBE, OQMD via LeMat-Bulk).

Summary:
The space group is Cmcm. The calculation puts the final energy at -4.46 eV/atom.

Cell: 3.791 10.175 8.090 Å, 90.00 103.55 90.00°
Each line ends with the local moment (μB).
Fractional coordinates of all 12 atoms:
1 Rb 0.245 0.000 0.489  0.01
2 Rb 0.755 0.500 0.511  0.01
3 Se 0.064 0.500 0.128  0.00
4 Se 0.386 0.270 0.772  0.06
5 Se 0.936 0.000 0.872  0.00
6 Se 0.386 0.730 0.772  0.06
7 Se 0.614 0.770 0.228  0.06
8 Se 0.614 0.230 0.228  0.06
9 Tc 0.000 0.750 0.000  1.98
10 Tc 0.000 0.250 0.000  1.99
11 Au 0.445 0.500 0.890  0.10
12 Au 0.555 0.000 0.110  0.10

# RbTcTe2AuSe

An optimized crystal structure of RbTcTe2AuSe (PBE, OQMD via LeMat-Bulk).

Summary:
The space group is Cmcm. The calculation puts the final energy at -4.23 eV/atom.

Cell: 8.441 8.441 10.531 Å, 90.00 90.00 152.52°
Each line ends with the local moment (μB).
Fractional coordinates of all 12 atoms:
1 Te 0.617 0.383 0.520  0.05
2 Te 0.383 0.617 0.020  0.05
3 Te 0.617 0.383 0.980  0.05
4 Te 0.383 0.617 0.480  0.05
5 Rb 0.243 0.757 0.750  0.01
6 Rb 0.757 0.243 0.250  0.01
7 Tc 0.000 0.000 0.500  2.00
8 Tc 0.000 0.000 0.000  2.00
9 Au 0.547 0.453 0.750  0.09
10 Au 0.453 0.547 0.250  0.09
11 Se 0.941 0.059 0.750  0.00
12 Se 0.059 0.941 0.250  0.00

# RbZrTeAuSe2

An optimized crystal structure of RbZrTeAuSe2 (PBE, OQMD via LeMat-Bulk).

Summary:
The space group is Cmcm. The calculation puts the final energy at -4.74 eV/atom.

Cell: 8.431 8.431 10.819 Å, 90.00 90.00 152.50°
Fractional coordinates of all 12 atoms:
1 Se 0.613 0.387 0.959
2 Se 0.387 0.613 0.459
3 Se 0.387 0.613 0.041
4 Se 0.613 0.387 0.541
5 Zr 0.000 0.000 0.500
6 Zr 0.000 0.000 0.000
7 Au 0.462 0.538 0.250
8 Au 0.538 0.462 0.750
9 Rb 0.228 0.772 0.750
10 Rb 0.772 0.228 0.250
11 Te 0.919 0.081 0.750
12 Te 0.081 0.919 0.250

# RbThAuSe3

An optimized crystal structure of RbThAuSe3 (PBE, OQMD via LeMat-Bulk).

Summary:
The space group is Cmcm. The calculation puts the final energy at -4.99 eV/atom.

Cell: 8.061 8.061 10.988 Å, 90.00 90.00 149.04°
Fractional coordinates of all 12 atoms:
1 Th 0.000 0.000 0.000
2 Th 0.000 0.000 0.500
3 Au 0.537 0.463 0.750
4 Au 0.463 0.537 0.250
5 Rb 0.750 0.250 0.250
6 Rb 0.250 0.750 0.750
7 Se 0.375 0.625 0.048
8 Se 0.930 0.070 0.750
9 Se 0.070 0.930 0.250
10 Se 0.625 0.375 0.952
11 Se 0.625 0.375 0.548
12 Se 0.375 0.625 0.452

# RbTlAu2Se2

An optimized crystal structure of RbTlAu2Se2 (PBE, OQMD via LeMat-Bulk).

Summary:
The space group is Amm2. The calculation puts the final energy at -3.32 eV/atom.

Cell: 6.948 5.379 5.379 Å, 77.69 90.00 90.00°
Fractional coordinates of all 6 atoms:
1 Tl 0.000 0.675 0.675
2 Rb 0.500 0.368 0.368
3 Au 0.246 0.987 0.987
4 Au 0.754 0.987 0.987
5 Se 0.500 0.783 0.783
6 Se 0.000 0.199 0.199

# RbTmAuSe3

An optimized crystal structure of RbTmAuSe3 (PBE, OQMD via LeMat-Bulk).

Summary:
The space group is Pnma. The calculation puts the final energy at -4.28 eV/atom.

Cell: 15.537 4.073 10.868 Å, 90.00 90.00 90.00°
Fractional coordinates of all 24 atoms:
1 Se 0.592 0.750 0.579
2 Se 0.908 0.250 0.079
3 Se 0.408 0.250 0.421
4 Se 0.362 0.750 0.736
5 Se 0.862 0.750 0.764
6 Se 0.092 0.750 0.921
7 Se 0.909 0.750 0.373
8 Se 0.091 0.250 0.627
9 Se 0.638 0.250 0.264
10 Se 0.409 0.750 0.127
11 Se 0.591 0.250 0.873
12 Se 0.138 0.250 0.236
13 Rb 0.736 0.750 0.042
14 Rb 0.764 0.250 0.542
15 Rb 0.264 0.250 0.958
16 Rb 0.236 0.750 0.458
17 Au 0.485 0.750 0.897
18 Au 0.015 0.250 0.397
19 Au 0.515 0.250 0.103
20 Au 0.985 0.750 0.603
21 Tm 0.978 0.250 0.842
22 Tm 0.022 0.750 0.158
23 Tm 0.478 0.250 0.658
24 Tm 0.522 0.750 0.342

# RbTmAuSe3

An optimized crystal structure of RbTmAuSe3 (PBE, OQMD via LeMat-Bulk).

Summary:
The space group is Cmcm. The calculation puts the final energy at -4.30 eV/atom.

Cell: 8.141 8.141 10.584 Å, 90.00 90.00 151.28°
Fractional coordinates of all 12 atoms:
1 Tm 0.000 0.000 0.000
2 Tm 0.000 0.000 0.500
3 Se 0.376 0.624 0.045
4 Se 0.376 0.624 0.455
5 Se 0.928 0.072 0.750
6 Se 0.624 0.376 0.545
7 Se 0.624 0.376 0.955
8 Se 0.072 0.928 0.250
9 Rb 0.246 0.754 0.750
10 Rb 0.754 0.246 0.250
11 Au 0.464 0.536 0.250
12 Au 0.536 0.464 0.750

# RbWAuSe3

An optimized crystal structure of RbWAuSe3 (PBE, OQMD via LeMat-Bulk).

Summary:
The space group is Cmcm. The calculation puts the final energy at -4.83 eV/atom.

Cell: 8.284 8.284 10.138 Å, 90.00 90.00 25.59°
Each line ends with the local moment (μB).
Fractional coordinates of all 12 atoms:
1 Se 0.885 0.885 0.978  0.00
2 Se 0.885 0.885 0.522  0.00
3 Se 0.433 0.433 0.250  -0.03
4 Se 0.567 0.567 0.750  -0.03
5 Se 0.115 0.115 0.022  0.00
6 Se 0.115 0.115 0.478  0.00
7 W 0.500 0.500 0.500  0.97
8 W 0.500 0.500 0.000  0.98
9 Au 0.945 0.945 0.750  0.04
10 Au 0.055 0.055 0.250  0.04
11 Rb 0.744 0.744 0.250  0.01
12 Rb 0.256 0.256 0.750  0.01

Look up the final energy of the fifth one. -3.32 eV/atom

Which of these has the highest final energy? RbTlAu2Se2

What is the formula in the seventh record? RbTmAuSe3